# 1
## Li3NiTe (PBE)

Data for a relaxed Li3NiTe crystal.

SG: Pm-3m, No. 221
Excess energy over the best structure of this formula in the dataset (meV/atom): 116
Energy (eV per atom): -2.83

a b c (Å): 5.1698 5.1698 5.1698
angles (deg): 90.00 90.00 90.00
Last column: nearest neighbours and their distance in Å.
Atoms (fractional coordinates):
Li (0.0000, 0.0000, 0.5000)  2 Te 2.58
Li (0.5000, 0.0000, 0.0000)  2 Te 2.58
Li (0.0000, 0.5000, 0.0000)  2 Te 2.58
Ni (0.5000, 0.5000, 0.5000)  12 Li 3.66
Te (0.0000, 0.0000, 0.0000)  6 Li 2.58

# 2
## Li2NiTe (PBE)

Data for a relaxed Li2NiTe crystal.

SG: I-42d, No. 122
Energy (eV per atom): -3.37

a b c (Å): 3.8680 3.8680 9.5641
angles (deg): 78.33 78.33 90.00
Last column: nearest neighbours and their distance in Å.
Atoms (fractional coordinates):
Ni (0.5000, 0.5000, 0.0000)  4 Li 2.65, 4 Te 2.74
Te (0.7500, 0.2500, 0.5000)  4 Li 2.68, 4 Ni 2.74
Li (0.1367, 0.6250, 0.2500)  2 Ni 2.65, 4 Li 2.67-2.80, 2 Te 2.68
Li (0.3750, 0.3867, 0.7500)  2 Ni 2.65, 4 Li 2.67-2.80, 2 Te 2.68
Ni (0.2500, 0.7500, 0.5000)  4 Li 2.65, 4 Te 2.74
Li (0.8750, 0.8633, 0.7500)  2 Ni 2.65, 4 Li 2.67-2.80, 2 Te 2.68
Li (0.6133, 0.1250, 0.2500)  2 Ni 2.65, 4 Li 2.67-2.80, 2 Te 2.68
Te (0.0000, 0.0000, 0.0000)  4 Li 2.68, 4 Ni 2.74

# 3
## LiNiTe (PBE)

Data for a relaxed LiNiTe crystal.

SG: P-6m2, No. 187
Excess energy over the best structure of this formula in the dataset (meV/atom): 154
Energy (eV per atom): -3.98

a b c (Å): 4.2173 4.2173 3.7535
angles (deg): 90.00 90.00 120.00
Last column: nearest neighbours and their distance in Å.
Atoms (fractional coordinates):
Li (0.0000, 0.0000, 0.0006)  6 Ni 3.07-3.08, 6 Te 3.07-3.08
Ni (0.6667, 0.3333, 0.4994)  3 Te 2.43
Te (0.3333, 0.6667, 0.5000)  3 Ni 2.43

# 4
## Li2NiTe (PBE)

Data for a relaxed Li2NiTe crystal.

SG: I4/mmm, No. 139
Energy (eV per atom): -3.55

a b c (Å): 4.9426 4.9426 4.9426
angles (deg): 133.92 133.88 67.24
Last column: nearest neighbours and their distance in Å.
Atoms (fractional coordinates):
Te (0.2500, 0.7500, 0.5000)  4 Ni 2.74, 8 Li 2.82-2.83
Li (0.5002, 0.5002, 0.0000)  4 Li 2.74, 4 Ni 2.82-2.83, 4 Te 2.82-2.83
Li (0.9998, 0.9998, 0.0000)  4 Li 2.74, 4 Ni 2.82-2.83, 4 Te 2.82-2.83
Ni (0.7500, 0.2500, 0.5000)  4 Te 2.74, 8 Li 2.82-2.83

# 5
## LiNi2Te2 (PBE)

Data for a relaxed LiNi2Te2 crystal.

SG: P4/mbm, No. 127
Excess energy over the best structure of this formula in the dataset (meV/atom): 183
Energy (eV per atom): -4.04

a b c (Å): 7.4076 7.4076 3.3566
angles (deg): 90.00 90.00 90.00
Last column: nearest neighbours and their distance in Å.
Atoms (fractional coordinates):
Li (0.0000, 0.0000, 0.0000)  4 Te 2.75
Te (0.8310, 0.6690, 0.0000)  6 Ni 2.75-2.76, 2 Li 2.75
Te (0.3310, 0.8310, 0.0000)  6 Ni 2.75-2.76, 2 Li 2.75
Li (0.5000, 0.5000, 0.0000)  4 Te 2.75
Ni (0.8786, 0.3786, 0.5000)  1 Ni 2.54, 6 Te 2.75-2.76
Ni (0.3786, 0.1214, 0.5000)  1 Ni 2.54, 6 Te 2.75-2.76
Ni (0.1214, 0.6214, 0.5000)  1 Ni 2.54, 6 Te 2.75-2.76
Te (0.6690, 0.1690, 0.0000)  6 Ni 2.75-2.76, 2 Li 2.75
Te (0.1690, 0.3310, 0.0000)  6 Ni 2.75-2.76, 2 Li 2.75
Ni (0.6214, 0.8786, 0.5000)  1 Ni 2.54, 6 Te 2.75-2.76

# 6
## LiNi5Te8 (PBE)

Data for a relaxed LiNi5Te8 crystal.

SG: F-43m, No. 216
Energy (eV per atom): -4.24

a b c (Å): 7.6663 7.6663 7.6663
angles (deg): 60.00 60.00 60.00
Last column: nearest neighbours and their distance in Å.
Atoms (fractional coordinates):
Ni (0.0000, 0.0000, 0.0000)  4 Te 2.52
Te (0.3877, 0.3877, 0.8368)  3 Ni 2.57, 1 Li 2.59
Te (0.4027, 0.8658, 0.8658)  4 Ni 2.52-2.62
Ni (0.1269, 0.6244, 0.6244)  6 Te 2.57-2.62
Te (0.8368, 0.3877, 0.3877)  3 Ni 2.57, 1 Li 2.59
Te (0.3877, 0.8368, 0.3877)  3 Ni 2.57, 1 Li 2.59
Te (0.8658, 0.4027, 0.8658)  4 Ni 2.52-2.62
Te (0.3877, 0.3877, 0.3877)  3 Ni 2.57, 1 Li 2.59
Te (0.8658, 0.8658, 0.4027)  4 Ni 2.52-2.62
Ni (0.6244, 0.1269, 0.6244)  6 Te 2.57-2.62
Te (0.8658, 0.8658, 0.8658)  4 Ni 2.52-2.62
Ni (0.6244, 0.6244, 0.6244)  6 Te 2.57-2.62
Ni (0.6244, 0.6244, 0.1269)  6 Te 2.57-2.62
Li (0.2500, 0.2500, 0.2500)  4 Te 2.59

Number 1: formation energy from raw total energies 0.106 eV/atom, ρ 2.49 g/cm³, density of states at the Fermi level 12.59 states/eV/cell. Number 2: formation energy from raw total energies -0.185 eV/atom, ρ 4.85 g/cm³, density of states at the Fermi level 3.21 states/eV/cell. Number 3: formation energy from raw total energies -0.364 eV/atom, ρ 5.55 g/cm³, density of states at the Fermi level 1.56 states/eV/cell. Number 4: formation energy from raw total energies -0.363 eV/atom, ρ 5.39 g/cm³, density of states at the Fermi level 1.05 states/eV/cell. Number 5: formation energy from raw total energies -0.090 eV/atom, ρ 6.84 g/cm³, density of states at the Fermi level 6.88 states/eV/cell. Number 6: formation energy from raw total energies -0.238 eV/atom, ρ 6.89 g/cm³, density of states at the Fermi level 8.47 states/eV/cell.